## 1
5
Lattice="5.770 0.000 0.000 0.000 5.770 0.000 0.000 0.000 3.757" Properties=species:S:1:pos:R:3 comment="PBE with a Hubbard U LiVI2O, relaxed" dos_ef_per_ev_fu=1.234 m_tot_mub_per_cell=2.00 spacegroup="No. 123" volume_a3_per_atom=25.0 pbc="T T T"
Li 0.000 0.000 0.000
V 2.885 2.885 1.879
I 0.000 2.885 1.879
I 2.885 0.000 1.879
O 2.885 2.885 0.000


## 2
5
Lattice="5.476 0.000 0.000 0.000 5.476 0.000 0.000 0.000 3.743" Properties=species:S:1:pos:R:3 comment="PBE with a Hubbard U LiVI2O, relaxed" dos_ef_per_ev_fu=3.929 m_tot_mub_per_cell=2.00 spacegroup="No. 123" volume_a3_per_atom=22.4 pbc="T T T"
Li 0.000 0.000 0.000
V 2.738 2.738 1.872
I 0.000 2.738 0.000
I 2.738 0.000 0.000
O 0.000 0.000 1.872


Order of stability, best first: 1, 2


## 1
5
Lattice="6.027 0.000 0.000 0.000 6.027 0.000 0.000 0.000 3.926" Properties=species:S:1:pos:R:3 comment="PBE with a Hubbard U LiWI2O, relaxed" dos_ef_per_ev_fu=1.282 m_tot_mub_per_cell=3.00 spacegroup="No. 123" volume_a3_per_atom=28.5 pbc="T T T"
Li 0.000 0.000 0.000
W 3.013 3.013 1.963
I 0.000 3.013 1.963
I 3.013 0.000 1.963
O 3.013 3.013 0.000


## 2
5
Lattice="5.537 0.000 0.000 0.000 5.537 0.000 0.000 0.000 3.787" Properties=species:S:1:pos:R:3 comment="PBE with a Hubbard U LiWI2O, relaxed" dos_ef_per_ev_fu=3.593 m_tot_mub_per_cell=2.97 spacegroup="No. 123" volume_a3_per_atom=23.2 pbc="T T T"
Li 0.000 0.000 0.000
W 2.768 2.768 1.893
I 0.000 2.768 0.000
I 2.768 0.000 0.000
O 0.000 0.000 1.893


Order of stability, best first: 1, 2


## 1
5
Lattice="4.076 0.000 0.000 0.000 4.076 0.000 0.000 0.000 4.984" Properties=species:S:1:pos:R:3 comment="PBE with a Hubbard U LiWIO2, relaxed" dos_ef_per_ev_fu=2.630 m_tot_mub_per_cell=2.00 spacegroup="No. 123" volume_a3_per_atom=16.6 pbc="T T T"
Li 0.000 0.000 0.000
W 2.038 2.038 2.492
I 0.000 0.000 2.492
O 0.000 2.038 0.000
O 2.038 0.000 0.000


## 2
5
Lattice="4.162 0.000 0.000 0.000 4.162 0.000 0.000 0.000 5.695" Properties=species:S:1:pos:R:3 comment="PBE with a Hubbard U LiWIO2, relaxed" dos_ef_per_ev_fu=0.660 m_tot_mub_per_cell=4.05 spacegroup="No. 123" volume_a3_per_atom=19.7 pbc="T T T"
Li 0.000 0.000 0.000
W 2.081 2.081 0.000
I 2.081 2.081 2.848
O 0.000 2.081 2.848
O 2.081 0.000 2.848


Order of stability, best first: 1, 2